This record from Alexandria via LeMat-Bulk describes a geometry-optimized CsSn2Te3 structure. The functional is PBE-GGA.

abc: 4.265 8.635 13.231
angles: 90.00 90.00 90.00
Sites, in units of the cell vectors:
Sn: 0.500 0.043 0.502
Sn: 0.000 0.505 0.769
Sn: 0.500 0.543 0.498
Sn: 0.000 0.005 0.231
Cs: 0.000 0.010 0.861
Cs: 0.000 0.510 0.139
Te: 0.000 0.732 0.601
Te: 0.500 0.275 0.680
Te: 0.500 0.636 0.902
Te: 0.500 0.136 0.098
Te: 0.000 0.232 0.399
Te: 0.500 0.775 0.320

* DOS at the Fermi energy: 0.2582 states/eV/atom
* formation energy from raw total energies: -2.73 eV/f.u.
* energy above the lowest structure with this stoichiometry: 0.000 eV/atom

This record from Alexandria via LeMat-Bulk describes a geometry-optimized CsSnTe structure. The functional is PBE-GGA.

abc: 5.602 5.350 5.350
angles: 120.00 90.00 90.00
Sites, in units of the cell vectors:
Te: 0.166 0.333 0.667
Sn: 0.167 0.000 0.000
Cs: 0.667 0.667 0.333

* DOS at the Fermi energy: 0.5977 states/eV/atom
* formation energy from raw total energies: -1.30 eV/f.u.
* energy above the lowest structure with this stoichiometry: 0.118 eV/atom

This record from Alexandria via LeMat-Bulk describes a geometry-optimized Cs3SnTe4 structure. The functional is PBE-GGA.

abc: 6.927 7.893 9.487
angles: 114.58 111.41 90.00
Sites, in units of the cell vectors:
Sn: 0.500 0.473 0.000
Te: 0.225 0.731 0.000
Te: 0.650 0.445 0.300
Te: 0.775 0.731 0.000
Te: 0.350 0.145 0.700
Cs: 0.710 0.023 0.421
Cs: 0.000 0.198 0.000
Cs: 0.290 0.603 0.579

* DOS at the Fermi energy: 0.1732 states/eV/atom
* formation energy from raw total energies: -5.84 eV/f.u.
* energy above the lowest structure with this stoichiometry: 0.000 eV/atom

This record from Alexandria via LeMat-Bulk describes a geometry-optimized Cs4SnTe4 structure. The functional is PBE-GGA.

abc: 9.784 9.784 9.784
angles: 81.08 125.28 125.28
Sites, in units of the cell vectors:
Cs: 0.000 0.308 0.308
Cs: 0.000 0.692 0.692
Cs: 0.500 0.000 0.500
Cs: 0.500 0.500 0.000
Te: 0.000 0.709 0.066
Te: 0.643 0.934 0.934
Te: 0.000 0.066 0.709
Te: 0.357 0.291 0.291
Sn: 0.000 0.000 0.000

* formation energy from raw total energies: -7.33 eV/f.u.

This record from Alexandria via LeMat-Bulk describes a geometry-optimized Cs5SnTe4 structure. The functional is PBE-GGA.

abc: 9.140 11.814 11.264
angles: 90.00 90.00 90.00
Sites, in units of the cell vectors:
Te: 0.968 0.291 0.500
Te: 0.607 0.500 0.720
Te: 0.393 0.000 0.780
Te: 0.032 0.791 0.000
Te: 0.607 0.500 0.280
Te: 0.968 0.709 0.500
Te: 0.032 0.209 0.000
Te: 0.393 0.000 0.220
Cs: 0.737 0.805 0.241
Cs: 0.263 0.305 0.259
Cs: 0.263 0.695 0.259
Cs: 0.263 0.305 0.741
Cs: 0.150 0.000 0.500
Cs: 0.850 0.500 0.000
Cs: 0.737 0.195 0.759
Cs: 0.263 0.695 0.741
Cs: 0.737 0.195 0.241
Cs: 0.737 0.805 0.759
Sn: 0.214 0.000 0.000
Sn: 0.786 0.500 0.500

* DOS at the Fermi energy: 0.5519 states/eV/atom
* formation energy from raw total energies: -8.49 eV/f.u.

This record from Alexandria via LeMat-Bulk describes a geometry-optimized Cs2Sn2Te5 structure. The functional is PBE-GGA.

abc: 5.443 8.313 10.622
angles: 106.61 90.00 109.11
Sites, in units of the cell vectors:
Te: 0.000 0.000 0.000
Te: 0.095 0.190 0.614
Te: 0.905 0.810 0.386
Te: 0.633 0.266 0.995
Te: 0.367 0.734 0.005
Cs: 0.580 0.160 0.336
Cs: 0.420 0.840 0.664
Sn: 0.837 0.674 0.110
Sn: 0.163 0.326 0.890

* DOS at the Fermi energy: 0.4125 states/eV/atom
* formation energy from raw total energies: -4.09 eV/f.u.
* energy above the lowest structure with this stoichiometry: 0.012 eV/atom

This record from Alexandria via LeMat-Bulk describes a geometry-optimized CsSn3Te3 structure. The functional is PBE-GGA.

abc: 9.798 9.798 9.031
angles: 57.15 57.15 60.00
Sites, in units of the cell vectors:
Sn: 0.238 0.856 0.334
Sn: 0.428 0.762 0.666
Sn: 0.762 0.144 0.666
Sn: 0.144 0.428 0.666
Sn: 0.572 0.238 0.334
Sn: 0.856 0.572 0.334
Te: 0.377 0.069 0.729
Te: 0.623 0.931 0.271
Te: 0.069 0.824 0.729
Te: 0.176 0.623 0.271
Te: 0.931 0.176 0.271
Te: 0.824 0.377 0.729
Cs: 0.671 0.671 0.986
Cs: 0.329 0.329 0.014

* DOS at the Fermi energy: 0.3669 states/eV/atom
* formation energy from raw total energies: -1.96 eV/f.u.
* energy above the lowest structure with this stoichiometry: 0.000 eV/atom

This record from Alexandria via LeMat-Bulk describes a geometry-optimized Cs3SnTe3 structure. The functional is PBE-GGA.

abc: 11.672 11.672 10.616
angles: 84.78 84.78 80.79
Sites, in units of the cell vectors:
Te: 0.567 0.062 0.307
Te: 0.991 0.199 0.558
Te: 0.494 0.304 0.950
Te: 0.696 0.506 0.550
Te: 0.938 0.433 0.193
Te: 0.304 0.494 0.450
Te: 0.801 0.009 0.942
Te: 0.009 0.801 0.442
Te: 0.199 0.991 0.058
Te: 0.433 0.938 0.693
Te: 0.062 0.567 0.807
Te: 0.506 0.696 0.050
Cs: 0.169 0.652 0.132
Cs: 0.249 0.241 0.259
Cs: 0.241 0.249 0.759
Cs: 0.751 0.759 0.741
Cs: 0.652 0.169 0.632
Cs: 0.591 0.409 0.250
Cs: 0.831 0.348 0.868
Cs: 0.910 0.090 0.250
Cs: 0.759 0.751 0.241
Cs: 0.090 0.910 0.750
Cs: 0.348 0.831 0.368
Cs: 0.409 0.591 0.750
Sn: 0.077 0.575 0.542
Sn: 0.575 0.077 0.042
Sn: 0.425 0.923 0.958
Sn: 0.923 0.425 0.458

* formation energy from raw total energies: -6.22 eV/f.u.
* energy above the lowest structure with this stoichiometry: 0.000 eV/atom